Entry from the Alexandria database: an optimized crystal structure of RbTiGa3 (GGA-PBE).

Summary:
Its offset from the most stable computed form is 1.400 eV per atom. For the calculated density, the calculation gives 3.1 g/cm³. Its total DFT energy (no corrections) is -2.01 eV per atom. As for the formation energy from the elements: 1577 meV/atom.

a = 5.653 Å, b = 5.653 Å, c = 5.653 Å
α = 90.00°, β = 90.00°, γ = 90.00°
Sites, in units of the cell vectors:
Ga 0.000 0.500 0.000
Ga 0.000 0.000 0.500
Ga 0.500 0.000 0.000
Rb 0.000 0.000 0.000
Ti 0.500 0.500 0.500



Entry from the Alexandria database: an optimized crystal structure of Rb2Tl6CdRh (GGA-PBE).

Summary:
For the calculated density, the calculation gives 7.9 g/cm³. Its total DFT energy (no corrections) is -2.44 eV per atom. As for the formation energy from the elements: 3 meV/atom.

a = 8.257 Å, b = 7.469 Å, c = 8.190 Å
α = 62.76°, β = 54.36°, γ = 89.64°
Sites, in units of the cell vectors:
Rb 0.688 0.312 0.373
Rb 0.312 0.688 0.627
Tl 0.168 0.347 0.483
Tl 0.827 0.836 0.817
Tl 0.346 0.831 0.006
Tl 0.654 0.169 0.994
Tl 0.173 0.164 0.183
Tl 0.832 0.653 0.517
Cd 0.000 0.000 0.000
Rh 0.500 0.500 0.000



Entry from the Alexandria database: an optimized crystal structure of LiPr2Zn (GGA-PBE).

Summary:
Its offset from the most stable computed form is 0.442 eV per atom. For the calculated density, the calculation gives 4.9 g/cm³. Its total DFT energy (no corrections) is -2.86 eV per atom. As for the formation energy from the elements: 323 meV/atom.

a = 3.413 Å, b = 3.413 Å, c = 12.044 Å
α = 81.85°, β = 81.85°, γ = 60.00°
Sites, in units of the cell vectors:
Pr 0.089 0.089 0.734
Pr 0.911 0.911 0.266
Zn 0.000 0.000 0.000
Li 0.500 0.500 0.500



Entry from the Alexandria database: an optimized crystal structure of KRbNa2Ti (GGA-PBE).

Summary:
For the calculated density, the calculation gives 1.3 g/cm³. Its total DFT energy (no corrections) is -1.38 eV per atom. As for the formation energy from the elements: 1136 meV/atom.

a = 6.361 Å, b = 6.817 Å, c = 6.361 Å
α = 90.00°, β = 90.00°, γ = 90.00°
Sites, in units of the cell vectors:
Na 0.000 0.000 0.500
Na 0.500 0.000 0.000
K 0.000 0.500 0.000
Rb 0.000 0.000 0.000
Ti 0.500 0.500 0.500



Entry from the Alexandria database: an optimized crystal structure of ZnMoAs (GGA-PBE).

Summary:
Its offset from the most stable computed form is 0.005 eV per atom. For the calculated density, the calculation gives 8.2 g/cm³. Its total DFT energy (no corrections) is -5.59 eV per atom. As for the formation energy from the elements: -5 meV/atom.

a = 3.467 Å, b = 3.467 Å, c = 7.978 Å
α = 90.00°, β = 90.00°, γ = 90.00°
Sites, in units of the cell vectors:
Zn 0.000 0.000 0.000
Zn 0.500 0.500 0.000
As 0.000 0.500 0.385
As 0.500 0.000 0.615
Mo 0.000 0.500 0.725
Mo 0.500 0.000 0.275



Entry from the Alexandria database: an optimized crystal structure of NbBi2Au (GGA-PBE).

Summary:
For the calculated density, the calculation gives 8.6 g/cm³. Its total DFT energy (no corrections) is -4.63 eV per atom. As for the formation energy from the elements: 649 meV/atom.

a = 6.521 Å, b = 6.521 Å, c = 7.909 Å
α = 65.65°, β = 65.65°, γ = 90.00°
Sites, in units of the cell vectors:
Nb 0.500 0.500 0.000
Nb 0.250 0.750 0.500
Au 0.000 0.000 0.000
Au 0.750 0.250 0.500
Bi 0.617 0.125 0.250
Bi 0.133 0.625 0.250
Bi 0.375 0.383 0.750
Bi 0.875 0.867 0.750



Entry from the Alexandria database: an optimized crystal structure of SbPt2Pb2 (GGA-PBE).

Summary:
Its offset from the most stable computed form is 0.000 eV per atom. For the calculated density, the calculation gives 13.3 g/cm³. Its total DFT energy (no corrections) is -4.82 eV per atom. The uncorrected formation energy is -0.0969 eV per atom.

a = 7.435 Å, b = 7.435 Å, c = 4.189 Å
α = 90.00°, β = 90.00°, γ = 90.00°
Sites, in units of the cell vectors:
Pb 0.164 0.664 0.500
Pb 0.664 0.836 0.500
Pb 0.836 0.336 0.500
Pb 0.336 0.164 0.500
Sb 0.000 0.000 0.000
Sb 0.500 0.500 0.000
Pt 0.363 0.863 0.000
Pt 0.863 0.637 0.000
Pt 0.637 0.137 0.000
Pt 0.137 0.363 0.000



Entry from the Alexandria database: an optimized crystal structure of PPt2Se (GGA-PBE).

Summary:
Its offset from the most stable computed form is 0.000 eV per atom. For the calculated density, the calculation gives 10.7 g/cm³. Its total DFT energy (no corrections) is -5.53 eV per atom. The uncorrected formation energy is -0.2812 eV per atom.

a = 6.765 Å, b = 6.765 Å, c = 6.765 Å
α = 32.03°, β = 32.03°, γ = 32.03°
Sites, in units of the cell vectors:
P 0.283 0.283 0.283
Pt 0.992 0.992 0.992
Pt 0.747 0.747 0.747
Se 0.478 0.478 0.478



Entry from the Alexandria database: an optimized crystal structure of Ca2HgBr4 (GGA-PBE).

Summary:
For the calculated density, the calculation gives 3.6 g/cm³. Its total DFT energy (no corrections) is -3.31 eV per atom. The uncorrected formation energy is -1.7350 eV per atom.

a = 4.276 Å, b = 4.276 Å, c = 17.436 Å
α = 82.96°, β = 82.96°, γ = 60.00°
Sites, in units of the cell vectors:
Ca 0.434 0.434 0.699
Ca 0.566 0.566 0.301
Hg 0.000 0.000 0.000
Br 0.130 0.130 0.609
Br 0.263 0.263 0.210
Br 0.737 0.737 0.790
Br 0.870 0.870 0.391



Entry from the Alexandria database: an optimized crystal structure of Cd2ReSi (GGA-PBE).

Summary:
For the calculated density, the calculation gives 10.3 g/cm³. Its total DFT energy (no corrections) is -4.29 eV per atom. The uncorrected formation energy is 0.6384 eV per atom.

a = 2.786 Å, b = 4.782 Å, c = 5.327 Å
α = 90.00°, β = 90.00°, γ = 90.00°
Sites, in units of the cell vectors:
Cd 0.000 0.000 0.003
Cd 0.000 0.000 0.497
Re 0.500 0.500 0.250
Si 0.500 0.500 0.750



Entry from the Alexandria database: an optimized crystal structure of Na2LiNb (GGA-PBE).

Summary:
Its offset from the most stable computed form is 0.103 eV per atom. For the calculated density, the calculation gives 2.6 g/cm³. Its total DFT energy (no corrections) is -2.50 eV per atom. As for the formation energy from the elements: 1153 meV/atom.

a = 5.101 Å, b = 5.101 Å, c = 5.101 Å
α = 60.00°, β = 60.00°, γ = 60.00°
Sites, in units of the cell vectors:
Na 0.250 0.250 0.250
Na 0.750 0.750 0.750
Nb 0.500 0.500 0.500
Li 0.000 0.000 0.000



Entry from the Alexandria database: an optimized crystal structure of Be2TlRu (GGA-PBE).

Summary:
Its offset from the most stable computed form is 0.000 eV per atom. For the calculated density, the calculation gives 9.8 g/cm³. Its total DFT energy (no corrections) is -4.68 eV per atom. As for the formation energy from the elements: 94 meV/atom.

a = 3.079 Å, b = 3.080 Å, c = 6.570 Å
α = 62.01°, β = 90.00°, γ = 90.00°
Sites, in units of the cell vectors:
Ru 0.500 0.250 0.250
Tl 0.500 0.750 0.750
Be 0.000 0.926 0.074
Be 0.000 0.574 0.426



| no. | spin magnetization (μB per formula unit) | D(E_F) (states/eV/cell) |
| --- | --- | --- |
| 1 | 2.171 | 7.30 |
| 2 | 0.000 | 6.04 |
| 3 | 0.001 | 5.83 |
| 4 | 3.388 | 4.98 |
| 5 | 0.000 | 4.55 |
| 6 | 0.000 | 1.14 |
| 7 | 0.000 | 6.36 |
| 8 | 0.000 | 1.99 |
| 9 | 0.000 | 0.00 |
| 10 | 0.000 | 1.30 |
| 11 | 0.000 | 3.26 |
| 12 | 0.000 | 1.45 |